La6HgTe5 (PBE, optimized geometry); theoretical density = 6.808 Mg/m³; ΔE_f (raw) = -1.412 eV per atom; symmetry = No. 12; DOS(E_F) = 6.90 states/eV per cell
1.0
-5.569 2.962 4.791
-7.125 -2.776 -2.189
-2.775 -6.741 3.131
La Te Hg
6 5 1
Direct
0.753 0.412 0.670 La
0.751 0.754 0.000 La
0.249 0.246 0.000 La
0.247 0.918 0.670 La
0.753 0.082 0.330 La
0.247 0.588 0.330 La
0.500 0.500 0.000 Te
0.500 0.170 0.661 Te
0.000 0.334 0.331 Te
0.500 0.830 0.339 Te
0.000 0.666 0.669 Te
0.000 0.000 0.000 Hg